# AlB3H12

Crystalline AlB3H12 at its relaxed geometry (PBE, Alexandria via LeMat-Bulk).

Total magnetic moment (μB per cell): 0.0
Calculated total energy (eV per atom): -4.108

Cell and atoms, written as POSCAR:
```
AlB3H12
1.0
6.595 0.000 3.184
2.528 6.091 3.184
0.098 0.065 8.219
H Al B
24 2 6
direct
0.926 0.233 0.530
0.810 0.733 0.030
0.733 0.123 0.126
0.018 0.733 0.126
0.233 0.518 0.626
0.026 0.871 0.839
0.345 0.147 0.957
0.310 0.926 0.530
0.518 0.623 0.626
0.552 0.345 0.957
0.264 0.026 0.839
0.871 0.264 0.839
0.733 0.426 0.030
0.371 0.526 0.339
0.764 0.371 0.339
0.052 0.647 0.457
0.426 0.810 0.030
0.623 0.233 0.626
0.233 0.310 0.530
0.123 0.018 0.126
0.526 0.764 0.339
0.147 0.552 0.957
0.647 0.845 0.457
0.845 0.052 0.457
0.005 0.005 0.985
0.505 0.505 0.485
0.216 0.496 0.489
0.996 0.716 0.989
0.496 0.798 0.489
0.298 0.996 0.989
0.798 0.216 0.489
0.716 0.298 0.989
```